Material: Tb3ErTm2Sb6
Method: DFT, PBE
State: relaxed

Unit cell a=4.3709 b=8.7409 c=9.7719 alpha=102.86 beta=102.92 gamma=90.00
Positions (direct):
Sb 0.3323 0.4192 0.6646
Sb 0.9989 0.7517 0.9977
Sb 0.3340 0.9139 0.6681
Tm 0.8332 0.6666 0.6665
Er 0.5000 0.0000 0.0000
Sb 0.6660 0.0861 0.3319
Sb 0.6677 0.5808 0.3354
Tb 0.8335 0.1667 0.6670
Tm 0.1668 0.3334 0.3335
Tb 0.1665 0.8333 0.3330
Tb 0.5000 0.5000 0.0000
Sb 0.0011 0.2483 0.0023

Calculated values
Raw total energy: -65.48 eV per cell